A plane-wave DFT calculation with GGA-PBE was carried out for a relaxed structure of Ba6Hg2AuI3.

Lattice parameters (Å, degrees): 8.3284 14.4258 9.4090 90.00 107.16 90.00
Space group C2/m (No. 12)
One atom of each set of equivalent atoms:
Ba1 0.2341 0.1615 0.2181
Ba2 0.2498 0.0000 0.7813
Hg1 0.0000 0.3336 0.0000
Au1 0.0000 0.0000 0.0000
I1 0.0000 0.1680 0.5000
I2 0.0000 0.5000 0.5000

## Properties
* energy relative to the elements, uncorrected: -0.957 eV/atom


A plane-wave DFT calculation with GGA-PBE was carried out for a relaxed structure of CaSn6Hg.

Lattice parameters (Å, degrees): 6.3338 6.3338 6.2962 90.00 90.00 120.00
Space group P-31m (No. 162)
One atom of each set of equivalent atoms:
Ca1 0.0000 0.0000 0.0000
Sn1 0.0000 0.5001 0.2515
Hg1 0.0000 0.0000 0.5000

## Properties
* E_form: -0.180 eV per atom


A plane-wave DFT calculation with GGA-PBE was carried out for a relaxed structure of Re2SeBr.

Lattice parameters (Å, degrees): 5.5709 5.5709 11.0914 90.00 90.00 90.00
Space group I-42d (No. 122)
One atom of each set of equivalent atoms:
Re1 0.2453 0.2500 0.1250
Se1 0.0000 0.0000 0.0000
Br1 0.0000 0.0000 0.5000

## Properties
* E above lowest polymorph: 1148 meV/atom
* energy relative to the elements, uncorrected: 1.334 eV/atom


A plane-wave DFT calculation with GGA-PBE was carried out for a relaxed structure of PrSmThCd.

Lattice parameters (Å, degrees): 7.8884 7.8884 7.8884 90.00 90.00 90.00
Space group F-43m (No. 216)
One atom of each set of equivalent atoms:
Pr1 0.0000 0.0000 0.0000
Sm1 0.0000 0.0000 0.5000
Th1 0.2500 0.2500 0.2500
Cd1 0.2500 0.2500 0.7500

## Properties
* E_form: 0.077 eV per atom


A plane-wave DFT calculation with GGA-PBE was carried out for a relaxed structure of Hf2TaAu2.

Lattice parameters (Å, degrees): 3.6743 16.8503 3.2493 90.00 90.00 90.00
Space group Cmmm (No. 65)
One atom of each set of equivalent atoms:
Hf1 0.0000 0.1002 0.0000
Ta1 0.0000 0.5000 0.5000
Au1 0.0000 0.3124 0.5000

## Properties
* E above lowest polymorph: 0 meV/atom
* E_form: -0.266 eV per atom


A plane-wave DFT calculation with GGA-PBE was carried out for a relaxed structure of MgNiSe.

Lattice parameters (Å, degrees): 4.4323 4.4323 8.7548 90.00 90.00 120.00
Space group P6_3/mmc (No. 194)
One atom of each set of equivalent atoms:
Mg1 0.3333 0.6667 0.2500
Ni1 0.0000 0.0000 0.0000
Se1 0.0000 0.0000 0.2500

## Properties
* energy relative to the elements, uncorrected: -0.107 eV/atom